Record 1
Computed, not measured: a PBEsol-optimized structure of BaAl2Tc at the SCAN level of DFT.

The structure in POSCAR format:
```
BaAl2Tc
1.0
-1.6352 1.9915 7.0929
1.6352 -1.9915 7.0929
1.6352 1.9915 -7.0929
Ba Al Tc
1 2 1
direct
0.0000 0.0000 0.0000
0.3408 0.3408 0.0000
0.7062 0.2062 0.5000
0.2069 0.7069 0.5000
```

Calculated values
Space group ... No. 44
Relative energy among the computed polymorphs ... 169 meV per atom

Record 2
Computed, not measured: a PBEsol-optimized structure of BaAlTc2 at the SCAN level of DFT.

The structure in POSCAR format:
```
BaAlTc2
1.0
-1.3885 2.7226 5.1003
1.3885 -2.7226 5.1003
1.3885 2.7226 -5.1003
Ba Al Tc
1 1 2
direct
0.0000 0.0000 0.0000
0.5000 0.5000 0.0000
0.2866 0.7866 0.5000
0.7134 0.2134 0.5000
```

Calculated values
Space group ... No. 71

Record 3
Computed, not measured: a PBEsol-optimized structure of BaAl3Tc at the SCAN level of DFT.

The structure in POSCAR format:
```
BaAl3Tc
1.0
4.8636 0.0000 0.0000
0.0000 4.8636 0.0000
0.0000 0.0000 4.8636
Ba Al Tc
1 3 1
direct
0.0000 0.0000 0.0000
0.0000 0.5000 0.5000
0.5000 0.0000 0.5000
0.5000 0.5000 0.0000
0.5000 0.5000 0.5000
```

Calculated values
Space group ... No. 221

Record 4
Computed, not measured: a PBEsol-optimized structure of BaAl2Tc at the SCAN level of DFT.

The structure in POSCAR format:
```
BaAl2Tc
1.0
3.2072 0.0000 0.0000
0.0000 3.2072 0.0000
0.0000 0.0000 7.9766
Ba Al Tc
1 2 1
direct
0.0000 0.0000 0.0000
0.5000 0.5000 0.3362
0.5000 0.5000 0.6638
0.0000 0.0000 0.5000
```

Calculated values
Space group ... No. 123
Relative energy among the computed polymorphs ... 0 meV per atom

| no. | energy relative to the elements (eV per atom) | total DFT energy (no corrections) (eV for the cell shown) | size of the total moment (μB per cell) |
| --- | --- | --- | --- |
| 1 | 0.0365 | -89.97 | 0.00 |
| 2 | 0.9222 | -113.73 | 0.00 |
| 3 | -0.3597 | -99.66 | 0.00 |
| 4 | -0.1325 | -90.64 | 0.00 |